Here is RbAgWF2 after structural relaxation from Alexandria via LeMat-Bulk. Energies are from GGA+U.

Lattice parameters (Å, degrees): 4.8231 6.4674 4.8231 90.00 90.00 90.00
Site moments in Bohr magnetons follow the coordinates.
Fractional coordinates of all 5 atoms:
F1 0.5000 0.0000 0.0000  0.02
F2 0.0000 0.0000 0.5000  0.16
W1 0.0000 0.5000 0.0000  3.56
Ag1 0.5000 0.5000 0.5000  -0.03
Rb1 0.0000 0.0000 0.0000  0.03

Output
The value obtained for the density of states at the Fermi level is 2.71 states/eV/f.u. The value obtained for the total magnetic moment is 0.860 μB/atom. The space group is P4/mmm, No. 123. The calculated total energy is -2.87 eV per atom. The density comes out at 4.6 g/cm³.